1.
{
  "formula": "Cs2PrMg2S4",
  "functional": "GGA-PBE",
  "state": "optimized geometry",
  "cell": [[4.158, 0.000, 0.000], [0.000, 8.323, 0.435], [-2.079, -2.887, 7.487]],
  "species": ["S", "S", "Mg", "S", "Cs", "Pr", "S", "Cs", "Mg"],
  "fractional_positions": [[0.799, 0.852, 0.598], [0.472, 0.230, 0.944], [0.672, 0.975, 0.344], [0.528, 0.770, 0.056], [0.126, 0.535, 0.253], [0.000, 0.000, 0.000], [0.201, 0.148, 0.402], [0.874, 0.465, 0.747], [0.328, 0.025, 0.656]],
  "dft_energy_ev_per_atom": -4.30,
  "vol_a3_per_cell": 264.33,
  "e_form_raw_ev_per_atom": -1.393,
  "dos_ef_per_ev_atom": 0.39
}

***

2.
{
  "formula": "Cs2PrMg2Te4",
  "functional": "GGA-PBE",
  "state": "optimized geometry",
  "cell": [[-1.180, -4.444, 0.428], [1.935, 0.351, 8.980], [-7.760, 4.346, -1.174]],
  "species": ["Te", "Mg", "Cs", "Te", "Te", "Pr", "Mg", "Te", "Cs"],
  "fractional_positions": [[0.519, 0.762, 0.038], [0.670, 0.977, 0.340], [0.872, 0.455, 0.745], [0.202, 0.169, 0.404], [0.481, 0.238, 0.962], [0.000, 0.000, 0.000], [0.330, 0.023, 0.660], [0.798, 0.831, 0.596], [0.128, 0.545, 0.255]],
  "dft_energy_ev_per_atom": -3.54,
  "vol_a3_per_cell": 350.79,
  "e_form_raw_ev_per_atom": -1.073,
  "dos_ef_per_ev_atom": 0.43
}

***

- What is the formula in the first record?
  Cs2PrMg2S4